# 1
This record from the Alexandria database describes Ac3CuRh after structural relaxation. The functional is PBE.

The excess energy over the best structure of this formula in the dataset comes out at 0.114 eV/atom. The electronic total energy is -49.5 eV per cell. As for the total magnetization: 0.000 μB/atom. As for the formation enthalpy at 0 K: -0.195 eV per atom.

It has space group P1 (No. 1), with a = 5.4983 Å, b = 7.7177 Å, c = 7.9828 Å, α = 91.19°, β = 90.94° and γ = 91.88°. The inequivalent atoms are Ac at (0.0000, 0.0000, 0.0000), Ac at (0.0003, 0.4809, 0.5177), Ac at (0.4824, 0.6660, 0.2114), Ac at (0.4967, 0.1759, 0.3455), Ac at (0.5073, 0.8370, 0.6710), Ac at (0.5258, 0.3230, 0.8393), Cu at (0.0125, 0.8808, 0.4243), Cu at (0.9663, 0.4141, 0.1358), Rh at (0.4983, 0.9808, 0.0200) and Rh at (0.8861, 0.1310, 0.6270).

---

# 2
This record from the Alexandria database describes Sc4CuAu after structural relaxation. The functional is PBE.

The excess energy over the best structure of this formula in the dataset comes out at 0.490 eV/atom. The electronic total energy is -123.3 eV per cell. As for the total magnetization: 0.000 μB/atom. As for the formation enthalpy at 0 K: 0.314 eV per atom.

It has space group F-43m (No. 216), with a = 7.9352 Å, b = 7.9352 Å, c = 7.9352 Å, α = 90.00°, β = 90.00° and γ = 90.00°. The inequivalent atoms are Sc at (0.1247, 0.1247, 0.1247), Cu at (0.0000, 0.0000, 0.5000) and Au at (0.2500, 0.2500, 0.7500).

---

# 3
This record from the Alexandria database describes Dy3Ge after structural relaxation. The functional is PBE.

The excess energy over the best structure of this formula in the dataset comes out at 0.000 eV/atom. The electronic total energy is -39.8 eV per cell. As for the total magnetization: 0.000 μB/atom. As for the formation enthalpy at 0 K: -0.373 eV per atom.

It has space group Immm (No. 71), with a = 3.8964 Å, b = 5.0301 Å, c = 11.0387 Å, α = 90.00°, β = 90.00° and γ = 90.00°. The inequivalent atoms are Dy at (0.0000, 0.0000, 0.0000), Dy at (0.0000, 0.5000, 0.2072) and Ge at (0.0000, 0.0000, 0.5000).

---

# 4
This record from the Alexandria database describes AlZnAu2 after structural relaxation. The functional is PBE.

The electronic total energy is -24.7 eV per cell. As for the total magnetization: 0.000 μB/atom. As for the formation enthalpy at 0 K: -0.194 eV per atom.

It has space group C2/m (No. 12), with a = 8.5147 Å, b = 3.2821 Å, c = 5.0142 Å, α = 90.00°, β = 102.60° and γ = 90.00°. The inequivalent atoms are Al at (0.0000, 0.0000, 0.0000), Zn at (0.0000, 0.5000, 0.5000) and Au at (0.2421, 0.5000, 0.2439).

---

# 5
This record from the Alexandria database describes AsH3Pd after structural relaxation. The functional is PBE.

The excess energy over the best structure of this formula in the dataset comes out at 0.000 eV/atom. The electronic total energy is -17.3 eV per cell. As for the total magnetization: 0.000 μB/atom.

It has space group Pm-3m (No. 221), with a = 3.6254 Å, b = 3.6254 Å, c = 3.6254 Å, α = 90.00°, β = 90.00° and γ = 90.00°. The inequivalent atoms are As at (0.0000, 0.0000, 0.0000), H at (0.0000, 0.5000, 0.5000) and Pd at (0.5000, 0.5000, 0.5000).

---

# 6
This record from the Alexandria database describes Fe2MoIr2 after structural relaxation. The functional is PBE.

The excess energy over the best structure of this formula in the dataset comes out at 0.000 eV/atom. The electronic total energy is -90.6 eV per cell. As for the total magnetization: 0.373 μB/atom. As for the formation enthalpy at 0 K: 0.036 eV per atom.

It has space group P4/mbm (No. 127), with a = 7.0536 Å, b = 7.0536 Å, c = 2.7008 Å, α = 90.00°, β = 90.00° and γ = 90.00°. The inequivalent atoms are Fe at (0.1183, 0.3817, 0.0000), Mo at (0.0000, 0.0000, 0.0000) and Ir at (0.1765, 0.6765, 0.5000).

---

# 7
This record from the Alexandria database describes Ce2ZnCl after structural relaxation. The functional is PBE.

The excess energy over the best structure of this formula in the dataset comes out at 0.016 eV/atom. The electronic total energy is -53.0 eV per cell. As for the total magnetization: 0.469 μB/atom.

It has space group R3m (No. 160, hexagonal axes), with a = 3.5109 Å, b = 3.5109 Å, c = 27.3725 Å, α = 90.00°, β = 90.00° and γ = 120.00°. The inequivalent atoms are Ce at (0.0000, 0.0000, 0.0000), Ce at (0.0000, 0.0000, 0.1650), Zn at (0.0000, 0.0000, 0.5825) and Cl at (0.0000, 0.0000, 0.7485).

---

# 8
This record from the Alexandria database describes Na4NdNp3S8 after structural relaxation. The functional is PBE.

The electronic total energy is -315.7 eV per cell. As for the total magnetization: 0.750 μB/atom.

It has space group R-3m (No. 166, hexagonal axes), with a = 8.1005 Å, b = 8.1005 Å, c = 19.9806 Å, α = 90.00°, β = 90.00° and γ = 120.00°. The inequivalent atoms are Na at (0.0000, 0.0000, 0.0000), Na at (0.0000, 0.5000, 0.0000), Nd at (0.0000, 0.0000, 0.5000), Np at (0.0000, 0.5000, 0.5000), S at (0.0000, 0.0000, 0.2409) and S at (0.0066, 0.5033, 0.7565).

---

# 9
This record from the Alexandria database describes NdTmTcAg after structural relaxation. The functional is PBE.

The electronic total energy is -90.7 eV per cell. As for the total magnetization: 0.000 μB/atom. As for the formation enthalpy at 0 K: -0.055 eV per atom.

It has space group F-43m (No. 216), with a = 7.1007 Å, b = 7.1007 Å, c = 7.1007 Å, α = 90.00°, β = 90.00° and γ = 90.00°. The inequivalent atoms are Nd at (0.0000, 0.0000, 0.0000), Tm at (0.0000, 0.0000, 0.5000), Tc at (0.2500, 0.2500, 0.2500) and Ag at (0.2500, 0.2500, 0.7500).

---

# 10
This record from the Alexandria database describes Y2ErTm8 after structural relaxation. The functional is PBE.

The excess energy over the best structure of this formula in the dataset comes out at 0.089 eV/atom. The electronic total energy is -102.1 eV per cell. As for the total magnetization: 0.000 μB/atom. As for the formation enthalpy at 0 K: 0.201 eV per atom.

It has space group C2/m (No. 12), with a = 16.9184 Å, b = 6.5826 Å, c = 6.5070 Å, α = 90.00°, β = 108.98° and γ = 90.00°. The inequivalent atoms are Y at (0.2185, 0.0000, 0.0999), Er at (0.0000, 0.5000, 0.0000), Tm at (0.0589, 0.0000, 0.2424), Tm at (0.1007, 0.2591, 0.6856) and Tm at (0.2100, 0.5000, 0.3391).

---

# 11
This record from the Alexandria database describes SrZrCu3 after structural relaxation. The functional is PBE.

The excess energy over the best structure of this formula in the dataset comes out at 0.000 eV/atom. The electronic total energy is -19.9 eV per cell. As for the total magnetization: 0.012 μB/atom. As for the formation enthalpy at 0 K: 0.532 eV per atom.

It has space group Pm-3m (No. 221), with a = 5.0178 Å, b = 5.0178 Å, c = 5.0178 Å, α = 90.00°, β = 90.00° and γ = 90.00°. The inequivalent atoms are Sr at (0.0000, 0.0000, 0.0000), Zr at (0.5000, 0.5000, 0.5000) and Cu at (0.0000, 0.5000, 0.5000).